[1]
Density functional theory data (PBE) for an optimized crystal structure of La2DyZn6.

Unit cell a=7.9629 b=7.9629 c=3.6135 alpha=90.00 beta=90.00 gamma=120.00
Positions (direct):
La 0.3333 0.6667 0.0000
La 0.6667 0.3333 0.0000
Dy 0.0000 0.0000 0.0000
Zn 0.0000 0.3266 0.5000
Zn 0.0000 0.6734 0.5000
Zn 0.3266 0.0000 0.5000
Zn 0.3266 0.3266 0.5000
Zn 0.6734 0.0000 0.5000
Zn 0.6734 0.6734 0.5000

DFT formation energy in eV/f.u.: -3.17
Calculated density in Mg/m³: 6.97
Total moment in Bohr magnetons per cell: 0.00

---

[2]
Density functional theory data (PBE) for an optimized crystal structure of Nd3Sm5Se8.

Unit cell a=8.3963 b=8.3963 c=8.3963 alpha=59.94 beta=59.94 gamma=59.94
Positions (direct):
Nd 0.0000 0.5000 0.5000
Nd 0.5000 0.0000 0.5000
Nd 0.5000 0.5000 0.0000
Sm 0.0000 0.0000 0.0000
Sm 0.0000 0.0000 0.5000
Sm 0.0000 0.5000 0.0000
Sm 0.5000 0.0000 0.0000
Sm 0.5000 0.5000 0.5000
Se 0.2464 0.7500 0.7500
Se 0.2482 0.2482 0.2482
Se 0.2500 0.2500 0.7536
Se 0.2500 0.7536 0.2500
Se 0.7500 0.2464 0.7500
Se 0.7500 0.7500 0.2464
Se 0.7518 0.7518 0.7518
Se 0.7536 0.2500 0.2500

Calculated density in Mg/m³: 7.22
Total moment in Bohr magnetons per cell: 0.00
Raw formation energy in meV per atom: -1820

---

[3]
Density functional theory data (PBE) for an optimized crystal structure of LaPrHoPu.

Unit cell a=5.7210 b=5.7210 c=5.7210 alpha=60.00 beta=60.00 gamma=60.00
Positions (direct):
La 0.0000 0.0000 0.0000
Pr 0.5000 0.5000 0.5000
Ho 0.7500 0.7500 0.7500
Pu 0.2500 0.2500 0.2500

DFT formation energy in eV/f.u.: 0.84
Calculated density in Mg/m³: 8.64
Total moment in Bohr magnetons per cell: 7.72